This record from Alexandria via LeMat-Bulk describes a crystal of TiSeO2 relaxed with PBEsol. The functional is SCAN.

Summary:
Its energy relative to the elements, uncorrected is -0.456 eV/atom.

Cell: 3.6353 3.6353 15.5723 Å, 90.00 90.00 120.00°
Space group R-3m (No. 166, hexagonal axes)
Unique sites:
1 Ti 0.0000 0.0000 0.0000 (multiplicity 3)
2 Se 0.0000 0.0000 0.5000 (multiplicity 3)
3 O 0.0000 0.0000 0.1207 (multiplicity 6)

This record from Alexandria via LeMat-Bulk describes a crystal of HfBeNi3 relaxed with PBEsol. The functional is SCAN.

Summary:
Its energy relative to the elements is 1.48 eV/atom.

Cell: 4.442 4.442 4.442 Å, 90.00 90.00 90.00°
Space group Pm-3m (No. 221)
Unique sites:
1 Hf 0.000 0.000 0.000 (multiplicity 1)
2 Be 0.500 0.500 0.500 (multiplicity 1)
3 Ni 0.000 0.000 0.500 (multiplicity 3)

This record from Alexandria via LeMat-Bulk describes a crystal of Sc2CdTc relaxed with PBEsol. The functional is SCAN.

Summary:
Its energy relative to the elements is 0.08 eV/atom.

Cell: 3.1342 3.1342 29.7717 Å, 90.00 90.00 120.00°
Space group R-3m (No. 166, hexagonal axes)
Unique sites:
1 Sc 0.0000 0.0000 0.1025 (multiplicity 6)
2 Cd 0.0000 0.0000 0.0000 (multiplicity 3)
3 Tc 0.0000 0.0000 0.5000 (multiplicity 3)

This record from Alexandria via LeMat-Bulk describes a crystal of TiFeReOs2 relaxed with PBEsol. The functional is SCAN.

Summary:
Its energy relative to the elements is 1.67 eV/atom.

Cell: 4.651 4.651 4.573 Å, 90.00 90.00 90.00°
Space group P4/mmm (No. 123)
Unique sites:
1 Ti 0.000 0.000 0.000 (multiplicity 1)
2 Fe 0.500 0.500 0.000 (multiplicity 1)
3 Re 0.000 0.000 0.500 (multiplicity 1)
4 Os 0.000 0.500 0.500 (multiplicity 2)

This record from Alexandria via LeMat-Bulk describes a crystal of CoOs5 relaxed with PBEsol. The functional is SCAN.

Summary:
Its energy relative to the elements is 0.10 eV/atom. The energy above the most stable polymorph in this dataset is 15 meV per atom.

Cell: 9.713 2.713 6.284 Å, 90.00 103.75 90.00°
Space group Cm (No. 8)
Unique sites:
1 Co 0.000 0.000 0.000 (multiplicity 2)
2 Os 0.056 0.000 0.615 (multiplicity 2)
3 Os 0.166 0.500 0.332 (multiplicity 2)
4 Os 0.221 0.500 0.944 (multiplicity 2)
5 Os 0.335 0.000 0.669 (multiplicity 2)
6 Os 0.389 0.000 0.271 (multiplicity 2)

This record from Alexandria via LeMat-Bulk describes a crystal of ScTa2Re relaxed with PBEsol. The functional is SCAN.

Summary:
Its energy relative to the elements is 0.19 eV/atom.

Cell: 3.873 3.873 9.239 Å, 90.00 90.00 90.00°
Space group I-4m2 (No. 119)
Unique sites:
1 Sc 0.000 0.000 0.000 (multiplicity 2)
2 Ta 0.000 0.000 0.500 (multiplicity 2)
3 Ta 0.000 0.500 0.250 (multiplicity 2)
4 Re 0.000 0.500 0.750 (multiplicity 2)

This record from Alexandria via LeMat-Bulk describes a crystal of In2PRh relaxed with PBEsol. The functional is SCAN.

Summary:
Its energy relative to the elements is 0.10 eV/atom.

Cell: 3.3637 3.3637 22.7534 Å, 90.00 90.00 120.00°
Space group R-3m (No. 166, hexagonal axes)
Unique sites:
1 In 0.0000 0.0000 0.2490 (multiplicity 6)
2 P 0.0000 0.0000 0.0000 (multiplicity 3)
3 Rh 0.0000 0.0000 0.5000 (multiplicity 3)

This record from Alexandria via LeMat-Bulk describes a crystal of TiTcI3 relaxed with PBEsol. The functional is SCAN.

Summary:
Its energy relative to the elements, uncorrected is 0.696 eV/atom.

Cell: 5.289 5.289 5.289 Å, 90.00 90.00 90.00°
Space group Pm-3m (No. 221)
Unique sites:
1 Ti 0.000 0.000 0.000 (multiplicity 1)
2 Tc 0.500 0.500 0.500 (multiplicity 1)
3 I 0.000 0.500 0.500 (multiplicity 3)

This record from Alexandria via LeMat-Bulk describes a crystal of TiAg3H relaxed with PBEsol. The functional is SCAN.

Summary:
The total DFT energy (no corrections) comes out at -21.11 eV/atom.

Cell: 5.006 5.006 5.006 Å, 90.00 90.00 90.00°
Space group Pm-3m (No. 221)
Unique sites:
1 Ti 0.000 0.000 0.000 (multiplicity 1)
2 Ag 0.000 0.000 0.500 (multiplicity 3)
3 H 0.500 0.500 0.500 (multiplicity 1)

This record from Alexandria via LeMat-Bulk describes a crystal of K2Ti2Re relaxed with PBEsol. The functional is SCAN.

Summary:
Its energy relative to the elements is 2.21 eV/atom.

Cell: 4.889 4.889 8.362 Å, 90.00 90.00 90.00°
Space group I4/mmm (No. 139)
Unique sites:
1 K 0.000 0.000 0.141 (multiplicity 4)
2 Ti 0.000 0.500 0.250 (multiplicity 4)
3 Re 0.000 0.000 0.500 (multiplicity 2)

This record from Alexandria via LeMat-Bulk describes a crystal of K3Zn relaxed with PBEsol. The functional is SCAN.

Summary:
Its energy relative to the elements is 0.26 eV/atom.

Cell: 12.6067 12.6067 4.3601 Å, 90.00 90.00 120.00°
Space group R-3m (No. 166, hexagonal axes)
Unique sites:
1 K 0.0000 0.5000 0.0000 (multiplicity 9)
2 Zn 0.0000 0.0000 0.0000 (multiplicity 3)

This record from Alexandria via LeMat-Bulk describes a crystal of K2UCl5 relaxed with PBEsol. The functional is SCAN.

Summary:
Its energy relative to the elements, uncorrected is -2.130 eV/atom.

Cell: 12.734 8.480 7.953 Å, 90.00 90.00 90.00°
Space group Pnma (No. 62)
Unique sites:
1 K 0.172 0.004 0.047 (multiplicity 8)
2 U 0.003 0.250 0.570 (multiplicity 4)
3 Cl 0.007 0.250 0.920 (multiplicity 4)
4 Cl 0.083 0.544 0.663 (multiplicity 8)
5 Cl 0.178 0.250 0.368 (multiplicity 4)
6 Cl 0.205 0.750 0.331 (multiplicity 4)